The following is a PBE-GGA calculation of a relaxed Cr4As5 crystal, from the Alexandria database.

The structure in POSCAR format:
```
Cr4As5
1.0
7.831 0.000 0.000
-3.915 6.781 0.000
0.000 0.000 5.420
Cr As
8 10
Direct
0.000 0.000 0.000
0.000 0.000 0.500
0.000 0.383 0.250
0.000 0.617 0.750
0.383 0.000 0.250
0.383 0.383 0.750
0.617 0.000 0.750
0.617 0.617 0.250
0.000 0.272 0.750
0.000 0.728 0.250
0.272 0.000 0.750
0.272 0.272 0.250
0.333 0.667 0.000
0.333 0.667 0.500
0.667 0.333 0.000
0.667 0.333 0.500
0.728 0.000 0.250
0.728 0.728 0.750
```

Calculated values
space group	No. 193
ΔE to the lowest computed polymorph	0.0	meV per atom
formation energy from the elements	0.12	eV/atom

---

The following is a PBE-GGA calculation of a relaxed TaBeW2 crystal, from the Alexandria database.

The structure in POSCAR format:
```
TaBeW2
1.0
-3.608 3.608 2.417
3.608 -3.608 2.417
3.608 3.608 -2.417
Ta Be W
2 2 4
Direct
0.000 0.000 0.000
0.750 0.250 0.500
0.250 0.750 0.500
0.500 0.500 0.000
0.194 0.625 0.069
0.375 0.444 0.569
0.556 0.125 0.931
0.875 0.806 0.431
```

Calculated values
space group	No. 122
formation energy from the elements	0.69	eV/atom

---

The following is a PBE-GGA calculation of a relaxed Pm2Al4IrAu3 crystal, from the Alexandria database.

The structure in POSCAR format:
```
Pm2Al4IrAu3
1.0
4.322 0.000 0.000
0.000 4.322 0.000
0.000 0.000 10.620
Pm Al Ir Au
2 4 1 3
Direct
0.000 0.500 0.244
0.500 0.000 0.756
0.000 0.000 0.500
0.000 0.500 0.875
0.500 0.000 0.125
0.500 0.500 0.500
0.500 0.500 0.000
0.000 0.000 0.000
0.000 0.500 0.637
0.500 0.000 0.363
```

Calculated values
space group	No. 115
formation energy from the elements	-0.75	eV/atom

---

The following is a PBE-GGA calculation of a relaxed NdSiTe crystal, from the Alexandria database.

The structure in POSCAR format:
```
NdSiTe
1.0
2.070 -9.068 0.000
2.070 9.068 0.000
0.000 0.000 4.113
Nd Si Te
2 2 2
Direct
0.100 0.900 0.750
0.900 0.100 0.250
0.468 0.532 0.750
0.532 0.468 0.250
0.314 0.686 0.750
0.686 0.314 0.250
```

Calculated values
space group	No. 63
energy relative to the elements, uncorrected	-843	meV/atom

---

The following is a PBE-GGA calculation of a relaxed Mg2CrBiCl crystal, from the Alexandria database.

The structure in POSCAR format:
```
Mg2CrBiCl
1.0
4.800 0.000 0.000
0.000 4.800 0.000
0.000 0.000 5.841
Mg Cr Bi Cl
2 1 1 1
Direct
0.000 0.500 0.000
0.500 0.000 0.000
0.000 0.000 0.500
0.500 0.500 0.500
0.500 0.500 0.000
```

Calculated values
space group	No. 123
energy relative to the elements, uncorrected	455	meV/atom

---

The following is a PBE-GGA calculation of a relaxed Tl4CdTc crystal, from the Alexandria database.

The structure in POSCAR format:
```
Tl4CdTc
1.0
0.000 4.416 4.416
4.416 0.000 4.416
4.416 4.416 0.000
Tl Cd Tc
4 1 1
Direct
0.125 0.125 0.125
0.125 0.125 0.624
0.125 0.624 0.125
0.624 0.125 0.125
0.750 0.750 0.750
0.500 0.500 0.500
```

Calculated values
space group	No. 216
formation energy from the elements	0.84	eV/atom